# 1
## Ta2ZnRh (PBE)

Data for a geometry-optimized Ta2ZnRh structure.

Magnetization: 1.9 μB/f.u.
E_tot: -32.2 eV per cell
Symmetry: F-43m

a b c (Å): 4.523 4.523 4.523
angles (deg): 60.00 60.00 60.00
Sites, in units of the cell vectors:
Ta  0.000  0.000  0.000
Ta  0.250  0.250  0.250
Zn  0.750  0.750  0.750
Rh  0.500  0.500  0.500



# 2
## Ta3ZnRh (PBE)

Data for a geometry-optimized Ta3ZnRh structure.

Magnetization: 0.0 μB/f.u.
E_tot: -38.5 eV per cell
Symmetry: Pm-3m
Energy above the lowest structure with this stoichiometry: 0 meV/atom

a b c (Å): 4.799 4.799 4.799
angles (deg): 90.00 90.00 90.00
Sites, in units of the cell vectors:
Ta  0.000  0.000  0.500
Ta  0.000  0.500  0.000
Ta  0.500  0.000  0.000
Zn  0.500  0.500  0.500
Rh  0.000  0.000  0.000



# 3
## Ta2ZnRh2 (PBE)

Data for a geometry-optimized Ta2ZnRh2 structure.

Magnetization: 0.0 μB/f.u.
E_tot: -80.9 eV per cell
Symmetry: P4/mbm

a b c (Å): 7.693 7.693 2.888
angles (deg): 90.00 90.00 90.00
Sites, in units of the cell vectors:
Ta  0.160  0.340  0.000
Ta  0.340  0.840  0.000
Ta  0.660  0.160  0.000
Ta  0.840  0.660  0.000
Zn  0.000  0.000  0.000
Zn  0.500  0.500  0.000
Rh  0.133  0.633  0.500
Rh  0.367  0.133  0.500
Rh  0.633  0.867  0.500
Rh  0.867  0.367  0.500



# 4
## ZrTaZnRh2 (PBE)

Data for a geometry-optimized ZrTaZnRh2 structure.

Magnetization: 0.0 μB/f.u.
E_tot: -33.1 eV per cell
Symmetry: P4/mmm

a b c (Å): 4.503 4.503 4.692
angles (deg): 90.00 90.00 90.00
Sites, in units of the cell vectors:
Zr  0.000  0.000  0.000
Ta  0.500  0.500  0.000
Zn  0.500  0.500  0.500
Rh  0.000  0.500  0.500
Rh  0.500  0.000  0.500



# 5
## ZrTa2Rh2 (PBE)

Data for a geometry-optimized ZrTa2Rh2 structure.

Magnetization: 0.0 μB/f.u.
E_tot: -97.1 eV per cell
Symmetry: P4/mbm
Energy above the lowest structure with this stoichiometry: 33 meV/atom

a b c (Å): 7.816 7.816 2.887
angles (deg): 90.00 90.00 90.00
Sites, in units of the cell vectors:
Zr  0.000  0.000  0.000
Zr  0.500  0.500  0.000
Ta  0.153  0.347  0.000
Ta  0.347  0.847  0.000
Ta  0.653  0.153  0.000
Ta  0.847  0.653  0.000
Rh  0.144  0.644  0.500
Rh  0.356  0.144  0.500
Rh  0.644  0.856  0.500
Rh  0.856  0.356  0.500



# 6
## Zr2TaRh (PBE)

Data for a geometry-optimized Zr2TaRh structure.

Magnetization: 0.0 μB/f.u.
E_tot: -37.4 eV per cell
Symmetry: P4/mmm
Energy above the lowest structure with this stoichiometry: 84 meV/atom

a b c (Å): 4.741 4.741 3.382
angles (deg): 90.00 90.00 90.00
Sites, in units of the cell vectors:
Zr  0.000  0.500  0.000
Zr  0.500  0.000  0.000
Ta  0.000  0.000  0.500
Rh  0.500  0.500  0.500



# 7
## Zr2TaRh (PBE)

Data for a geometry-optimized Zr2TaRh structure.

Magnetization: 0.0 μB/f.u.
E_tot: -36.7 eV per cell
Symmetry: R3m
Energy above the lowest structure with this stoichiometry: 277 meV/atom

a b c (Å): 9.469 9.469 9.469
angles (deg): 19.04 19.04 19.04
Sites, in units of the cell vectors:
Zr  0.000  0.000  0.000
Zr  0.239  0.239  0.239
Ta  0.485  0.485  0.485
Rh  0.748  0.748  0.748



# 8
## ZrTaRh2 (PBE)

Data for a geometry-optimized ZrTaRh2 structure.

Magnetization: 0.0 μB/f.u.
E_tot: -36.3 eV per cell
Symmetry: C2/m

a b c (Å): 4.204 4.204 6.131
angles (deg): 97.49 97.49 41.99
Sites, in units of the cell vectors:
Zr  0.000  0.000  0.000
Ta  0.500  0.500  0.500
Rh  0.249  0.249  0.726
Rh  0.751  0.751  0.274



# 9
## ZrTaRh2 (PBE)

Data for a geometry-optimized ZrTaRh2 structure.

Magnetization: 0.0 μB/f.u.
E_tot: -37.3 eV per cell
Symmetry: Cmmm

a b c (Å): 4.798 4.798 2.996
angles (deg): 90.00 90.00 102.04
Sites, in units of the cell vectors:
Zr  0.000  0.000  0.000
Ta  0.500  0.500  0.000
Rh  0.000  0.500  0.500
Rh  0.500  0.000  0.500



# 10
## Zr2TaRh (PBE)

Data for a geometry-optimized Zr2TaRh structure.

Magnetization: 0.0 μB/f.u.
E_tot: -37.2 eV per cell
Symmetry: Fm-3m
Energy above the lowest structure with this stoichiometry: 156 meV/atom

a b c (Å): 4.746 4.746 4.746
angles (deg): 60.00 60.00 60.00
Sites, in units of the cell vectors:
Zr  0.250  0.250  0.250
Zr  0.750  0.750  0.750
Ta  0.000  0.000  0.000
Rh  0.500  0.500  0.500



# 11
## Zr2TaRh2 (PBE)

Data for a geometry-optimized Zr2TaRh2 structure.

Magnetization: 0.0 μB/f.u.
E_tot: -89.6 eV per cell
Symmetry: P4/mbm
Energy above the lowest structure with this stoichiometry: 193 meV/atom

a b c (Å): 7.831 7.831 3.020
angles (deg): 90.00 90.00 90.00
Sites, in units of the cell vectors:
Zr  0.153  0.347  0.000
Zr  0.347  0.847  0.000
Zr  0.653  0.153  0.000
Zr  0.847  0.653  0.000
Ta  0.000  0.000  0.000
Ta  0.500  0.500  0.000
Rh  0.148  0.648  0.500
Rh  0.352  0.148  0.500
Rh  0.648  0.852  0.500
Rh  0.852  0.352  0.500



# 12
## ZrTaRh2 (PBE)

Data for a geometry-optimized ZrTaRh2 structure.

Magnetization: 0.0 μB/f.u.
E_tot: -37.3 eV per cell
Symmetry: P2/m

a b c (Å): 2.968 3.728 6.122
angles (deg): 90.00 90.25 90.00
Sites, in units of the cell vectors:
Zr  0.000  0.000  0.000
Ta  0.000  0.000  0.500
Rh  0.500  0.500  0.264
Rh  0.500  0.500  0.736



# 13
## Zr2TaRh (PBE)

Data for a geometry-optimized Zr2TaRh structure.

Magnetization: 0.0 μB/f.u.
E_tot: -37.5 eV per cell
Symmetry: P4mm
Energy above the lowest structure with this stoichiometry: 80 meV/atom

a b c (Å): 3.245 3.245 7.367
angles (deg): 90.00 90.00 90.00
Sites, in units of the cell vectors:
Zr  0.000  0.000  0.000
Zr  0.500  0.500  0.290
Ta  0.500  0.500  0.734
Rh  0.000  0.000  0.532



# 14
## Zr2TaRh (PBE)

Data for a geometry-optimized Zr2TaRh structure.

Magnetization: 0.0 μB/f.u.
E_tot: -37.0 eV per cell
Symmetry: F-43m
Energy above the lowest structure with this stoichiometry: 202 meV/atom

a b c (Å): 4.716 4.716 4.716
angles (deg): 60.00 60.00 60.00
Sites, in units of the cell vectors:
Zr  0.000  0.000  0.000
Zr  0.250  0.250  0.250
Ta  0.750  0.750  0.750
Rh  0.500  0.500  0.500



# 15
## ZrTa2Rh5 (PBE)

Data for a geometry-optimized ZrTa2Rh5 structure.

Magnetization: 0.0 μB/f.u.
E_tot: -147.3 eV per cell
Symmetry: Pbam

a b c (Å): 5.614 11.163 4.096
angles (deg): 90.00 90.00 90.00
Sites, in units of the cell vectors:
Zr  0.000  0.000  0.000
Zr  0.500  0.500  0.000
Ta  0.181  0.354  0.500
Ta  0.319  0.854  0.500
Ta  0.681  0.146  0.500
Ta  0.819  0.646  0.500
Rh  0.000  0.500  0.000
Rh  0.052  0.752  0.000
Rh  0.216  0.117  0.500
Rh  0.284  0.617  0.500
Rh  0.448  0.252  0.000
Rh  0.500  0.000  0.000
Rh  0.552  0.748  0.000
Rh  0.716  0.383  0.500
Rh  0.784  0.883  0.500
Rh  0.948  0.248  0.000



# 16
## ZrTa2Rh2 (PBE)

Data for a geometry-optimized ZrTa2Rh2 structure.

Magnetization: 0.0 μB/f.u.
E_tot: -48.1 eV per cell
Symmetry: I4/mmm
Energy above the lowest structure with this stoichiometry: 119 meV/atom

a b c (Å): 5.982 5.982 5.982
angles (deg): 137.14 137.14 62.23
Sites, in units of the cell vectors:
Zr  0.000  0.000  0.000
Ta  0.250  0.750  0.500
Ta  0.750  0.250  0.500
Rh  0.378  0.378  0.000
Rh  0.622  0.622  0.000



# 17
## Zr4TaRh (PBE)

Data for a geometry-optimized Zr4TaRh structure.

Magnetization: 0.0 μB/f.u.
E_tot: -50.7 eV per cell
Symmetry: F-43m

a b c (Å): 5.615 5.615 5.615
angles (deg): 60.00 60.00 60.00
Sites, in units of the cell vectors:
Zr  0.125  0.125  0.125
Zr  0.125  0.125  0.624
Zr  0.125  0.624  0.125
Zr  0.624  0.125  0.125
Ta  0.500  0.500  0.500
Rh  0.750  0.750  0.750



# 18
## Zr2TaRh (PBE)

Data for a geometry-optimized Zr2TaRh structure.

Magnetization: 0.0 μB/f.u.
E_tot: -37.2 eV per cell
Symmetry: Immm
Energy above the lowest structure with this stoichiometry: 154 meV/atom

a b c (Å): 5.582 5.582 5.582
angles (deg): 146.04 127.88 63.68
Sites, in units of the cell vectors:
Zr  0.238  0.238  0.000
Zr  0.762  0.762  0.000
Ta  0.500  0.000  0.500
Rh  0.000  0.500  0.500



# 19
## Zr2Ta2Rh (PBE)

Data for a geometry-optimized Zr2Ta2Rh structure.

Magnetization: 0.0 μB/f.u.
E_tot: -49.8 eV per cell
Symmetry: I4/mmm

a b c (Å): 8.748 8.748 8.748
angles (deg): 157.89 157.89 31.46
Sites, in units of the cell vectors:
Zr  0.097  0.097  0.000
Zr  0.903  0.903  0.000
Ta  0.295  0.295  0.000
Ta  0.705  0.705  0.000
Rh  0.500  0.500  0.000



# 20
## Zr2TaRh (PBE)

Data for a geometry-optimized Zr2TaRh structure.

Magnetization: 0.0 μB/f.u.
E_tot: -36.9 eV per cell
Symmetry: R-3m
Energy above the lowest structure with this stoichiometry: 225 meV/atom

a b c (Å): 9.313 9.313 9.313
angles (deg): 19.43 19.43 19.43
Sites, in units of the cell vectors:
Zr  0.245  0.245  0.245
Zr  0.755  0.755  0.755
Ta  0.000  0.000  0.000
Rh  0.500  0.500  0.500